Material: AcPaTl2O8
Method: DFT, GGA-PBE
State: relaxed

**E_form (uncorrected)**: -1811 meV per atom
**N(E_F)**: 4.8 states/eV/cell

Cell: 6.4037 6.4037 6.4037 Å, 111.52 111.52 105.46°
Each line ends with the local moment (μB).
Atoms (fractional coordinates):
1 O 0.9787 0.3139 0.3352  0.22
2 O 0.5114 0.7103 0.8011  -0.01
3 Ac 0.0000 0.0000 0.0000  0.09
4 O 0.9787 0.6435 0.6648  0.22
5 O 0.2897 0.4886 0.1989  -0.01
6 O 0.2897 0.0908 0.8011  -0.01
7 Pa 0.2500 0.7500 0.5000  -0.03
8 O 0.3565 0.0213 0.3352  0.22
9 O 0.6861 0.0213 0.6648  0.22
10 Tl 0.7500 0.2500 0.5000  0.00
11 Tl 0.5000 0.5000 0.0000  0.01
12 O 0.9092 0.7103 0.1989  -0.01